No. 1
The following is a DFT calculation (PBE) of crystalline Tl9Pb4Au at its relaxed geometry.

Output
Spin magnetization ... 0.00 μB/atom

Lattice parameters (Å, degrees): 10.664 9.820 9.820 120.00 90.00 90.00
Sites, in units of the cell vectors:
Pb1 0.500 0.000 0.000
Pb2 0.000 0.000 0.000
Pb3 0.250 0.117 0.233
Pb4 0.750 0.233 0.117
Pb5 0.250 0.117 0.883
Pb6 0.250 0.767 0.883
Pb7 0.750 0.883 0.767
Pb8 0.750 0.883 0.117
Tl1 0.956 0.585 0.792
Tl2 0.250 0.051 0.526
Tl3 0.456 0.792 0.208
Tl4 0.044 0.415 0.208
Tl5 0.250 0.474 0.526
Tl6 0.956 0.208 0.792
Tl7 0.044 0.792 0.208
Tl8 0.544 0.208 0.792
Tl9 0.250 0.474 0.949
Tl10 0.544 0.208 0.415
Tl11 0.456 0.792 0.585
Tl12 0.750 0.949 0.474
Tl13 0.044 0.792 0.585
Tl14 0.750 0.526 0.474
Tl15 0.544 0.585 0.792
Tl16 0.456 0.415 0.208
Tl17 0.750 0.526 0.051
Tl18 0.956 0.208 0.415
Au1 0.750 0.333 0.667
Au2 0.250 0.667 0.333



No. 2
The following is a DFT calculation (PBE) of crystalline TlPb2Au at its relaxed geometry.

Output
Relative energy among the computed polymorphs ... 126.2 meV/atom
Spin magnetization ... 0.00 μB/atom

Lattice parameters (Å, degrees): 3.724 5.590 5.339 90.00 90.00 90.00
Sites, in units of the cell vectors:
Pb1 0.000 0.000 0.000
Pb2 0.500 0.500 0.000
Au1 0.000 0.500 0.500
Tl1 0.500 0.000 0.500



No. 3
The following is a DFT calculation (PBE) of crystalline TlPb2Au at its relaxed geometry.

Output
Relative energy among the computed polymorphs ... 67.7 meV/atom
Spin magnetization ... 0.00 μB/atom

Lattice parameters (Å, degrees): 4.435 4.435 7.767 73.41 73.41 60.00
Sites, in units of the cell vectors:
Pb1 0.271 0.271 0.188
Pb2 0.062 0.062 0.813
Tl1 0.501 0.501 0.497
Au1 0.666 0.666 0.002



Uncorrected energy per entry: -2.793, -3.205, -3.264 eV/atom
E_form per entry: 0.022, 0.060, 0.001 eV/atom